No. 1
Computed, not measured: ZrNiAu after structural relaxation at the PBE-GGA level of DFT.

Lattice parameters (Å, degrees): 3.6821 3.6821 4.8294 90.00 90.00 120.00
Closest atoms and distances in Å follow each position.
Space group P3m1 (No. 156)
Inequivalent atoms, fractional coordinates:
Zr1 0.0000 0.0000 0.0000 (multiplicity 1)  3 Ni 2.57
Ni1 0.6667 0.3333 0.7022 (multiplicity 1)  3 Au 2.55, 3 Zr 2.57
Au1 0.3333 0.6667 0.4092 (multiplicity 1)  3 Ni 2.55

Output
The formation energy comes out at -130 meV/atom. The energy above the most stable polymorph in this dataset is 374 meV per atom. The value obtained for the magnetization is 0.000 μB/atom.

***

No. 2
Computed, not measured: RbGa3Cl8 after structural relaxation at the PBE-GGA level of DFT.

Lattice parameters (Å, degrees): 10.9926 7.4779 10.3929 90.00 93.50 90.00
Closest atoms and distances in Å follow each position.
Space group C2/m (No. 12)
Inequivalent atoms, fractional coordinates:
Rb1 0.0000 0.0000 0.0000 (multiplicity 2)  6 Cl 3.40-3.50
Ga1 0.0000 0.0000 0.5000 (multiplicity 2)  6 Cl 3.04-3.10
Ga2 0.1051 0.5000 0.2651 (multiplicity 4)  4 Cl 2.19-2.22
Cl1 0.0135 0.2594 0.7327 (multiplicity 8)  1 Ga 2.22
Cl2 0.1957 0.5000 0.0825 (multiplicity 4)  1 Ga 2.20
Cl3 0.2261 0.5000 0.4405 (multiplicity 4)  1 Ga 2.19

Output
The calculation puts the raw total energy at -79.8 eV for the cell shown. The value obtained for the magnetization is 0.000 μB/atom.

***

No. 3
Computed, not measured: PrHoTh2 after structural relaxation at the PBE-GGA level of DFT.

Lattice parameters (Å, degrees): 3.5668 3.5668 10.3314 90.00 90.00 90.00
Closest atoms and distances in Å follow each position.
Space group P4/mmm (No. 123)
Inequivalent atoms, fractional coordinates:
Pr1 0.0000 0.0000 0.0000 (multiplicity 1)  4 Pr 3.57, 8 Th 3.66
Ho1 0.0000 0.0000 0.5000 (multiplicity 1)  8 Th 3.56, 4 Ho 3.57
Th1 0.5000 0.5000 0.2561 (multiplicity 2)  4 Ho 3.56, 4 Th 3.57, 4 Pr 3.66

Output
The formation energy comes out at 79 meV/atom. The energy above the most stable polymorph in this dataset is 49 meV per atom. The value obtained for the magnetization is 0.000 μB/atom.

***

No. 4
Computed, not measured: Li2LaP after structural relaxation at the PBE-GGA level of DFT.

Lattice parameters (Å, degrees): 3.7468 3.7468 6.6837 90.00 90.00 90.00
Closest atoms and distances in Å follow each position.
Space group P4mm (No. 99)
Inequivalent atoms, fractional coordinates:
Li1 0.0000 0.0000 0.0000 (multiplicity 1)  1 P 2.59, 4 Li 2.84
Li2 0.5000 0.5000 0.1522 (multiplicity 1)  4 Li 2.84, 1 La 2.89, 4 P 3.08
La1 0.5000 0.5000 0.5851 (multiplicity 1)  1 Li 2.89, 4 P 2.96
P1 0.0000 0.0000 0.3868 (multiplicity 1)  1 Li 2.59

Output
The formation energy comes out at -475 meV/atom. The value obtained for the magnetization is 0.000 μB/atom.

***

No. 5
Computed, not measured: CeSmTm14 after structural relaxation at the PBE-GGA level of DFT.

Lattice parameters (Å, degrees): 10.9542 8.0275 11.0944 90.00 90.00 90.00
Closest atoms and distances in Å follow each position.
Space group Amm2 (No. 38)
Inequivalent atoms, fractional coordinates:
Ce1 0.0000 0.0000 0.0000 (multiplicity 2)  12 Tm 3.37-3.76
Sm1 0.0000 0.0000 0.5608 (multiplicity 2)  10 Tm 3.34-3.50
Tm1 0.0000 0.2064 0.2827 (multiplicity 4)  7 Tm 3.31-3.57, 2 Ce 3.37-3.55, 2 Sm 3.41-3.50
Tm2 0.2356 0.0000 0.7653 (multiplicity 4)  9 Tm 3.39-3.68, 1 Sm 3.44, 1 Ce 3.67
Tm3 0.2513 0.2115 0.4874 (multiplicity 8)  9 Tm 3.30-3.59, 1 Sm 3.34, 1 Ce 3.60
Tm4 0.2681 0.0000 0.2112 (multiplicity 4)  10 Tm 3.40-3.69, 1 Ce 3.76
Tm5 0.5000 0.0000 0.4197 (multiplicity 2)  10 Tm 3.30-3.50
Tm6 0.5000 0.0000 0.9703 (multiplicity 2)  12 Tm 3.45-3.69
Tm7 0.5000 0.2056 0.6977 (multiplicity 4)  11 Tm 3.30-3.59

Output
The formation energy comes out at 67 meV/atom. The value obtained for the magnetization is 0.037 μB/atom.

***

No. 6
Computed, not measured: TbGdMgIn after structural relaxation at the PBE-GGA level of DFT.

Lattice parameters (Å, degrees): 7.5606 7.5606 7.5606 90.00 90.00 90.00
Closest atoms and distances in Å follow each position.
Space group F-43m (No. 216)
Inequivalent atoms, fractional coordinates:
Tb1 0.0000 0.0000 0.0000 (multiplicity 4)  4 Mg 3.27, 4 In 3.27
Gd1 0.0000 0.0000 0.5000 (multiplicity 4)  4 In 3.27, 4 Mg 3.27
Mg1 0.2500 0.2500 0.7500 (multiplicity 4)  4 Gd 3.27, 4 Tb 3.27
In1 0.2500 0.2500 0.2500 (multiplicity 4)  4 Gd 3.27, 4 Tb 3.27

Output
The formation energy comes out at -329 meV/atom. The value obtained for the magnetization is 1.880 μB/atom.

***

No. 7
Computed, not measured: Be2HgB after structural relaxation at the PBE-GGA level of DFT.

Lattice parameters (Å, degrees): 5.7155 5.7155 5.7155 90.00 90.00 90.00
Closest atoms and distances in Å follow each position.
Space group Fm-3m (No. 225)
Inequivalent atoms, fractional coordinates:
Be1 0.2500 0.2500 0.2500 (multiplicity 8)  4 Hg 2.47, 4 B 2.47
Hg1 0.0000 0.0000 0.0000 (multiplicity 4)  8 Be 2.47
B1 0.0000 0.0000 0.5000 (multiplicity 4)  8 Be 2.47

Output
The formation energy comes out at 1052 meV/atom. The energy above the most stable polymorph in this dataset is 474 meV per atom. The value obtained for the magnetization is 0.000 μB/atom.

***

No. 8
Computed, not measured: PmBi3Pt8 after structural relaxation at the PBE-GGA level of DFT.

Lattice parameters (Å, degrees): 5.5641 5.5641 8.9254 90.00 90.00 120.00
Closest atoms and distances in Å follow each position.
Space group P3m1 (No. 156)
Inequivalent atoms, fractional coordinates:
Pm1 0.0000 0.0000 0.0000 (multiplicity 1)  12 Pt 3.14-3.29, 3 Bi 3.49
Bi1 0.0000 0.0000 0.3946 (multiplicity 1)  6 Pt 3.01-3.22, 3 Bi 3.25
Bi2 0.6667 0.3333 0.4461 (multiplicity 1)  6 Pt 2.99-3.22, 3 Bi 3.25
Bi3 0.6667 0.3333 0.8476 (multiplicity 1)  12 Pt 3.16-3.28, 3 Pm 3.49
Pt1 0.1659 0.3319 0.6805 (multiplicity 3)  6 Pt 2.69-2.84, 1 Bi 3.01
Pt2 0.3333 0.6667 0.4179 (multiplicity 1)  6 Pt 2.79-2.84
Pt3 0.3333 0.6667 0.9221 (multiplicity 1)  6 Pt 2.68-2.69
Pt4 0.5006 0.0012 0.1626 (multiplicity 3)  6 Pt 2.68-2.79, 1 Bi 2.99

Output
The formation energy comes out at -336 meV/atom. The value obtained for the magnetization is 0.000 μB/atom.

***

No. 9
Computed, not measured: Ac2HoAsO8 after structural relaxation at the PBE-GGA level of DFT.

Lattice parameters (Å, degrees): 5.6541 5.6541 6.1619 90.00 90.00 120.00
Closest atoms and distances in Å follow each position.
Space group P-3m1 (No. 164)
Inequivalent atoms, fractional coordinates:
Ac1 0.3333 0.6667 0.3602 (multiplicity 2)  1 O 2.15
Ho1 0.0000 0.0000 0.0000 (multiplicity 1)  6 O 2.46
As1 0.0000 0.0000 0.5000 (multiplicity 1)  6 O 1.86
O1 0.1514 0.3027 0.6824 (multiplicity 6)  1 As 1.86
O2 0.3333 0.6667 0.0113 (multiplicity 2)  1 Ac 2.15

Output
The calculation puts the raw total energy at -82.9 eV for the cell shown. The value obtained for the magnetization is 0.168 μB/atom.

***

No. 10
Computed, not measured: Cu4Pt after structural relaxation at the PBE-GGA level of DFT.

Lattice parameters (Å, degrees): 5.6175 5.6175 5.6175 90.00 90.00 90.00
Closest atoms and distances in Å follow each position.
Space group Im-3m (No. 229)
Inequivalent atoms, fractional coordinates:
Cu1 0.2500 0.2500 0.2500 (multiplicity 8)  2 Pt 2.43
Pt1 0.0000 0.0000 0.0000 (multiplicity 2)  8 Cu 2.43

Output
The formation energy comes out at 499 meV/atom. The energy above the most stable polymorph in this dataset is 601 meV per atom. The value obtained for the magnetization is 0.000 μB/atom.

***

No. 11
Computed, not measured: In2GaBi2 after structural relaxation at the PBE-GGA level of DFT.

Lattice parameters (Å, degrees): 4.6420 4.6420 15.0192 90.00 90.00 90.00
Closest atoms and distances in Å follow each position.
Space group I4/mmm (No. 139)
Inequivalent atoms, fractional coordinates:
In1 0.0000 0.5000 0.2500 (multiplicity 4)  4 Bi 3.15, 4 In 3.28
Ga1 0.0000 0.0000 0.0000 (multiplicity 2)  8 Bi 3.66
Bi1 0.0000 0.0000 0.3919 (multiplicity 4)  4 In 3.15, 1 Bi 3.25

Output
The formation energy comes out at 164 meV/atom. The energy above the most stable polymorph in this dataset is 107 meV per atom. The value obtained for the magnetization is 0.000 μB/atom.

***

No. 12
Computed, not measured: EuErPdRh after structural relaxation at the PBE-GGA level of DFT.

Lattice parameters (Å, degrees): 6.9902 6.9902 6.9902 90.00 90.00 90.00
Closest atoms and distances in Å follow each position.
Space group F-43m (No. 216)
Inequivalent atoms, fractional coordinates:
Eu1 0.0000 0.0000 0.0000 (multiplicity 4)  4 Rh 3.03, 4 Pd 3.03
Er1 0.0000 0.0000 0.5000 (multiplicity 4)  4 Rh 3.03, 4 Pd 3.03
Pd1 0.2500 0.2500 0.2500 (multiplicity 4)  4 Er 3.03, 4 Eu 3.03
Rh1 0.2500 0.2500 0.7500 (multiplicity 4)  4 Er 3.03, 4 Eu 3.03

Output
The formation energy comes out at -680 meV/atom. The value obtained for the magnetization is 1.717 μB/atom.

***

No. 13
Computed, not measured: La2SmPuAs4 after structural relaxation at the PBE-GGA level of DFT.

Lattice parameters (Å, degrees): 7.3983 4.2812 7.4044 90.00 109.45 90.00
Closest atoms and distances in Å follow each position.
Space group P2/m (No. 10)
Inequivalent atoms, fractional coordinates:
La1 0.0000 0.0000 0.0000 (multiplicity 1)  6 As 3.08-3.09
La2 0.5000 0.5000 0.0000 (multiplicity 1)  6 As 3.06
Sm1 0.0000 0.5000 0.5000 (multiplicity 1)  6 As 2.99
Pu1 0.5000 0.0000 0.5000 (multiplicity 1)  6 As 2.96
As1 0.2501 0.0000 0.7396 (multiplicity 2)  1 Pu 2.96, 2 Sm 2.99, 3 La 3.06-3.08
As2 0.2581 0.5000 0.2637 (multiplicity 2)  2 Pu 2.96, 1 Sm 2.99, 3 La 3.06-3.09

Output
The formation energy comes out at -1404 meV/atom. The value obtained for the magnetization is 0.613 μB/atom.

***

No. 14
Computed, not measured: V2SbPdCl after structural relaxation at the PBE-GGA level of DFT.

Lattice parameters (Å, degrees): 5.2355 5.2355 4.9280 90.00 90.00 90.00
Closest atoms and distances in Å follow each position.
Space group P4/mmm (No. 123)
Inequivalent atoms, fractional coordinates:
V1 0.0000 0.5000 0.0000 (multiplicity 2)  2 Sb 2.62
Sb1 0.0000 0.0000 0.0000 (multiplicity 1)  2 Pd 2.46, 4 V 2.62
Pd1 0.0000 0.0000 0.5000 (multiplicity 1)  2 Sb 2.46
Cl1 0.5000 0.5000 0.5000 (multiplicity 1)  8 V 3.59, 4 Pd 3.70

Output
The calculation puts the raw total energy at -25.4 eV for the cell shown. The value obtained for the magnetization is 1.210 μB/atom.

***

No. 15
Computed, not measured: Tb15Ho4In after structural relaxation at the PBE-GGA level of DFT.

Lattice parameters (Å, degrees): 4.9732 4.9732 25.1644 90.00 90.00 90.00
Closest atoms and distances in Å follow each position.
Space group P4/mmm (No. 123)
Inequivalent atoms, fractional coordinates:
Tb1 0.0000 0.0000 0.0000 (multiplicity 1)  8 Tb 3.48, 4 In 3.52
Tb2 0.0000 0.0000 0.1962 (multiplicity 2)  4 Ho 3.52, 8 Tb 3.53-3.58
Tb3 0.0000 0.0000 0.3987 (multiplicity 2)  4 Ho 3.52, 8 Tb 3.54-3.56
Tb4 0.0000 0.5000 0.0969 (multiplicity 4)  2 In 3.48, 8 Tb 3.48-3.53, 2 Ho 3.56
Tb5 0.0000 0.5000 0.2984 (multiplicity 4)  8 Tb 3.52-3.58, 4 Ho 3.54-3.56
Tb6 0.0000 0.5000 0.5000 (multiplicity 2)  8 Tb 3.52-3.56, 4 Ho 3.55
Ho1 0.5000 0.5000 0.1981 (multiplicity 2)  12 Tb 3.52-3.56
Ho2 0.5000 0.5000 0.3995 (multiplicity 2)  12 Tb 3.52-3.56
In1 0.5000 0.5000 0.0000 (multiplicity 1)  12 Tb 3.48-3.52

Output
The formation energy comes out at -36 meV/atom. The value obtained for the magnetization is 0.000 μB/atom.

***

No. 16
Computed, not measured: CeDy3Tl3 after structural relaxation at the PBE-GGA level of DFT.

Lattice parameters (Å, degrees): 9.4677 9.4677 5.2784 90.00 90.00 120.00
Closest atoms and distances in Å follow each position.
Space group P6_3/m (No. 176)
Inequivalent atoms, fractional coordinates:
Ce1 0.3333 0.6667 0.2500 (multiplicity 2)  9 Tl 3.44-3.49, 3 Dy 3.72
Dy1 0.0009 0.2326 0.2500 (multiplicity 6)  4 Tl 3.10-3.41, 4 Dy 3.43
Tl1 0.0736 0.4498 0.7500 (multiplicity 6)  4 Dy 3.10-3.41, 2 Tl 3.34, 1 Ce 3.44

Output
The formation energy comes out at -193 meV/atom. The value obtained for the magnetization is 0.178 μB/atom.

***

No. 17
Computed, not measured: Pr2Ni3Ge after structural relaxation at the PBE-GGA level of DFT.

Lattice parameters (Å, degrees): 8.0962 8.2584 14.2718 90.00 90.00 90.00
Closest atoms and distances in Å follow each position.
Space group Fmmm (No. 69)
Inequivalent atoms, fractional coordinates:
Pr1 0.2413 0.0000 0.0000 (multiplicity 8)  10 Ni 3.08-3.17, 2 Ge 3.16
Pr2 0.2500 0.2500 0.2500 (multiplicity 8)  8 Ni 3.13, 4 Ge 3.13
Ni1 0.0000 0.0000 0.1666 (multiplicity 8)  2 Ni 2.38, 1 Ge 2.39
Ni2 0.0000 0.2497 0.0831 (multiplicity 16)  2 Ni 2.37-2.38, 1 Ge 2.38
Ge1 0.0000 0.0000 0.3342 (multiplicity 8)  3 Ni 2.38-2.39

Output
The formation energy comes out at -458 meV/atom. The value obtained for the magnetization is 0.000 μB/atom.

***

No. 18
Computed, not measured: PmDy2ZrAs4 after structural relaxation at the PBE-GGA level of DFT.

Lattice parameters (Å, degrees): 7.0541 4.0761 7.0654 90.00 109.28 90.00
Closest atoms and distances in Å follow each position.
Space group P2/m (No. 10)
Inequivalent atoms, fractional coordinates:
Pm1 0.0000 0.0000 0.0000 (multiplicity 1)  6 As 2.91-2.92
Dy1 0.5000 0.0000 0.5000 (multiplicity 1)  6 As 2.85-2.86
Dy2 0.5000 0.5000 0.0000 (multiplicity 1)  6 As 2.94
Zr1 0.0000 0.5000 0.5000 (multiplicity 1)  6 As 2.82-2.83
As1 0.2424 0.0000 0.7374 (multiplicity 2)  2 Zr 2.83, 3 Dy 2.85-2.94, 1 Pm 2.91
As2 0.2496 0.5000 0.2607 (multiplicity 2)  1 Zr 2.82, 3 Dy 2.86-2.94, 2 Pm 2.92

Output
The formation energy comes out at -1414 meV/atom. The value obtained for the magnetization is 0.000 μB/atom.

***

No. 19
Computed, not measured: LiLaScGe after structural relaxation at the PBE-GGA level of DFT.

Lattice parameters (Å, degrees): 7.1177 7.1177 7.1177 90.00 90.00 90.00
Closest atoms and distances in Å follow each position.
Space group F-43m (No. 216)
Inequivalent atoms, fractional coordinates:
Li1 0.0000 0.0000 0.0000 (multiplicity 4)  4 La 3.08, 4 Sc 3.08
La1 0.2500 0.2500 0.2500 (multiplicity 4)  4 Ge 3.08, 4 Li 3.08
Sc1 0.2500 0.2500 0.7500 (multiplicity 4)  4 Ge 3.08, 4 Li 3.08
Ge1 0.0000 0.0000 0.5000 (multiplicity 4)  4 La 3.08, 4 Sc 3.08

Output
The formation energy comes out at -394 meV/atom. The value obtained for the magnetization is 0.000 μB/atom.

***

No. 20
Computed, not measured: NdHoTm5 after structural relaxation at the PBE-GGA level of DFT.

Lattice parameters (Å, degrees): 7.9660 11.6440 6.1242 90.00 90.00 90.00
Closest atoms and distances in Å follow each position.
Space group Imm2 (No. 44)
Inequivalent atoms, fractional coordinates:
Nd1 0.0000 0.0000 0.0000 (multiplicity 2)  4 Tm 2.90-3.23
Ho1 0.0000 0.5000 0.2583 (multiplicity 2)  2 Tm 3.00
Tm1 0.0000 0.0000 0.5268 (multiplicity 2)  2 Nd 2.90-3.23, 4 Tm 3.02-3.23
Tm2 0.0000 0.2428 0.2700 (multiplicity 4)  1 Ho 3.00, 1 Tm 3.23, 1 Nd 3.28
Tm3 0.1796 0.5000 0.7625 (multiplicity 4)  2 Tm 2.86-3.02, 1 Nd 3.02

Output
The formation energy comes out at 1023 meV/atom. The energy above the most stable polymorph in this dataset is 822 meV per atom. The value obtained for the magnetization is 0.000 μB/atom.